a.
The following is a GGA-PBE calculation of an optimized crystal structure of CsGe3O, from the Alexandria database.

For the total moment, the calculation gives 0.00 μB per cell.

The space group is Pm-3m (No. 221) and the conventional cell measures 5.830, 5.830 and 5.830 Å, with angles of 90.00, 90.00 and 90.00 degrees. The distinct sites, in fractional coordinates, are Cs at (0.000, 0.000, 0.000), Ge at (0.000, 0.000, 0.500) and O at (0.500, 0.500, 0.500).


b.
The following is a GGA-PBE calculation of an optimized crystal structure of CsGe3O, from the Alexandria database.

For the total moment, the calculation gives 0.00 μB per cell.

The space group is Pm-3m (No. 221) and the conventional cell measures 4.861, 4.861 and 4.861 Å, with angles of 90.00, 90.00 and 90.00 degrees. The distinct sites, in fractional coordinates, are Cs at (0.000, 0.000, 0.000), Ge at (0.000, 0.500, 0.500) and O at (0.500, 0.500, 0.500).


Need the numbers? Relative energies in eV/atom: a 1.997; b 0.000.


a.
The following is a GGA-PBE calculation of an optimized crystal structure of CsGeTeP2O, from the Alexandria database.

For the total moment, the calculation gives 1.01 μB per cell.

The space group is P1 (No. 1) and the conventional cell measures 5.599, 5.678 and 6.703 Å, with angles of 87.41, 78.11 and 75.08 degrees. The distinct sites, in fractional coordinates, are Cs at (0.000, 0.000, 0.000), Ge at (0.587, 0.579, 0.304), Te at (0.791, 0.578, 0.641), P at (0.178, 0.467, 0.358), P at (0.252, 0.089, 0.456) and O at (0.463, 0.931, 0.268).


b.
The following is a GGA-PBE calculation of an optimized crystal structure of CsGeTeP2O, from the Alexandria database.

For the total moment, the calculation gives 0.00 μB per cell.

The space group is P1 (No. 1) and the conventional cell measures 3.923, 5.359 and 8.224 Å, with angles of 100.21, 92.85 and 93.90 degrees. The distinct sites, in fractional coordinates, are Cs at (0.000, 0.000, 0.000), Ge at (0.603, 0.132, 0.433), Te at (0.543, 0.589, 0.312), P at (0.128, 0.205, 0.610), P at (0.229, 0.633, 0.611) and O at (0.492, 0.715, 0.760).


Need the numbers? Relative energies in eV/atom: a 0.076; b 0.000.


a.
The following is a GGA-PBE calculation of an optimized crystal structure of CsGe3Os, from the Alexandria database.

For the total moment, the calculation gives 2.63 μB per cell.

The space group is Pm-3m (No. 221) and the conventional cell measures 5.509, 5.509 and 5.509 Å, with angles of 90.00, 90.00 and 90.00 degrees. The distinct sites, in fractional coordinates, are Cs at (0.000, 0.000, 0.000), Ge at (0.000, 0.000, 0.500) and Os at (0.500, 0.500, 0.500).


b.
The following is a GGA-PBE calculation of an optimized crystal structure of CsGe3Os, from the Alexandria database.

For the total moment, the calculation gives 0.00 μB per cell.

The space group is Pm-3m (No. 221) and the conventional cell measures 4.973, 4.973 and 4.973 Å, with angles of 90.00, 90.00 and 90.00 degrees. The distinct sites, in fractional coordinates, are Cs at (0.000, 0.000, 0.000), Ge at (0.000, 0.500, 0.500) and Os at (0.500, 0.500, 0.500).


Need the numbers? Relative energies in eV/atom: a 2.494; b 0.000.


a.
The following is a GGA-PBE calculation of an optimized crystal structure of CsGe2Os, from the Alexandria database.

For the total moment, the calculation gives 0.00 μB per cell.

The space group is I4_1/amd (No. 141, origin choice 2) and the conventional cell measures 6.865, 6.865 and 12.402 Å, with angles of 90.00, 90.00 and 90.00 degrees. The distinct sites, in fractional coordinates, are Cs at (0.000, 0.250, 0.375), Ge at (0.000, 0.000, 0.000) and Os at (0.000, 0.250, 0.875).


b.
The following is a GGA-PBE calculation of an optimized crystal structure of CsGe2Os, from the Alexandria database.

For the total moment, the calculation gives 1.87 μB per cell.

The space group is Fm-3m (No. 225) and the conventional cell measures 7.020, 7.020 and 7.020 Å, with angles of 90.00, 90.00 and 90.00 degrees. The distinct sites, in fractional coordinates, are Cs at (0.000, 0.000, 0.000), Ge at (0.250, 0.250, 0.250) and Os at (0.000, 0.000, 0.500).


Need the numbers? Relative energies in eV/atom: a 0.000; b 1.227.


a.
The following is a GGA-PBE calculation of an optimized crystal structure of CsGeP3, from the Alexandria database.

For the total moment, the calculation gives 0.00 μB per cell.

The space group is Pm-3m (No. 221) and the conventional cell measures 5.392, 5.392 and 5.392 Å, with angles of 90.00, 90.00 and 90.00 degrees. The distinct sites, in fractional coordinates, are Cs at (0.000, 0.000, 0.000), Ge at (0.500, 0.500, 0.500) and P at (0.000, 0.000, 0.500).


b.
The following is a GGA-PBE calculation of an optimized crystal structure of CsGeP3, from the Alexandria database.

For the total moment, the calculation gives 0.00 μB per cell.

The space group is Pm-3m (No. 221) and the conventional cell measures 5.005, 5.005 and 5.005 Å, with angles of 90.00, 90.00 and 90.00 degrees. The distinct sites, in fractional coordinates, are Cs at (0.000, 0.000, 0.000), Ge at (0.500, 0.500, 0.500) and P at (0.000, 0.500, 0.500).


Need the numbers? Relative energies in eV/atom: a 1.522; b 0.000.


a.
The following is a GGA-PBE calculation of an optimized crystal structure of CsRbZnGeP, from the Alexandria database.

For the total moment, the calculation gives 0.00 μB per cell.

The space group is Cm (No. 8) and the conventional cell measures 12.928, 3.836 and 8.304 Å, with angles of 90.00, 122.31 and 90.00 degrees. The distinct sites, in fractional coordinates, are Cs at (0.000, 0.000, 0.000), Rb at (0.122, 0.000, 0.607), Zn at (0.340, 0.000, 0.201), Ge at (0.270, 0.500, 0.391) and P at (0.389, 0.000, 0.577).


b.
The following is a GGA-PBE calculation of an optimized crystal structure of CsRbZnGeP, from the Alexandria database.

For the total moment, the calculation gives 0.00 μB per cell.

The space group is P1 (No. 1) and the conventional cell measures 4.086, 5.063 and 11.344 Å, with angles of 80.00, 89.31 and 66.69 degrees. The distinct sites, in fractional coordinates, are Cs at (0.000, 0.000, 0.000), Rb at (0.383, 0.278, 0.426), Zn at (0.042, 0.937, 0.690), Ge at (0.776, 0.479, 0.657) and P at (0.281, 0.461, 0.794).


Need the numbers? Relative energies in eV/atom: a 0.000; b 0.043.


a.
The following is a GGA-PBE calculation of an optimized crystal structure of CsGePS2, from the Alexandria database.

For the total moment, the calculation gives 0.71 μB per cell.

The space group is P4/mmm (No. 123) and the conventional cell measures 5.328, 5.328 and 5.698 Å, with angles of 90.00, 90.00 and 90.00 degrees. The distinct sites, in fractional coordinates, are Cs at (0.000, 0.000, 0.000), Ge at (0.500, 0.500, 0.500), P at (0.000, 0.000, 0.500) and S at (0.000, 0.500, 0.000).


b.
The following is a GGA-PBE calculation of an optimized crystal structure of CsGePS2, from the Alexandria database.

For the total moment, the calculation gives 1.05 μB per cell.

The space group is P4/mmm (No. 123) and the conventional cell measures 5.097, 5.097 and 4.874 Å, with angles of 90.00, 90.00 and 90.00 degrees. The distinct sites, in fractional coordinates, are Cs at (0.000, 0.000, 0.000), Ge at (0.500, 0.500, 0.500), P at (0.500, 0.500, 0.000) and S at (0.000, 0.500, 0.500).


Need the numbers? Relative energies in eV/atom: a 1.495; b 0.000.


a.
The following is a GGA-PBE calculation of an optimized crystal structure of CsGe2Pb, from the Alexandria database.

For the total moment, the calculation gives 0.00 μB per cell.

The space group is Fm-3m (No. 225) and the conventional cell measures 7.807, 7.807 and 7.807 Å, with angles of 90.00, 90.00 and 90.00 degrees. The distinct sites, in fractional coordinates, are Cs at (0.000, 0.000, 0.000), Ge at (0.250, 0.250, 0.250) and Pb at (0.000, 0.000, 0.500).


b.
The following is a GGA-PBE calculation of an optimized crystal structure of CsGe2Pb, from the Alexandria database.

For the total moment, the calculation gives 0.00 μB per cell.

The space group is I4_1/amd (No. 141, origin choice 2) and the conventional cell measures 5.620, 5.620 and 19.955 Å, with angles of 90.00, 90.00 and 90.00 degrees. The distinct sites, in fractional coordinates, are Cs at (0.000, 0.250, 0.375), Ge at (0.000, 0.000, 0.000) and Pb at (0.000, 0.250, 0.875).


Need the numbers? Relative energies in eV/atom: a 0.235; b 0.000.


a.
The following is a GGA-PBE calculation of an optimized crystal structure of CsGe2Pb2, from the Alexandria database.

For the total moment, the calculation gives 0.00 μB per cell.

The space group is I4/mmm (No. 139) and the conventional cell measures 5.143, 5.143 and 12.280 Å, with angles of 90.00, 90.00 and 90.00 degrees. The distinct sites, in fractional coordinates, are Cs at (0.000, 0.000, 0.000), Ge at (0.000, 0.000, 0.386) and Pb at (0.000, 0.500, 0.250).


b.
The following is a GGA-PBE calculation of an optimized crystal structure of CsGe2Pb2, from the Alexandria database.

For the total moment, the calculation gives 0.00 μB per cell.

The space group is P4/mbm (No. 127) and the conventional cell measures 9.280, 9.280 and 4.062 Å, with angles of 90.00, 90.00 and 90.00 degrees. The distinct sites, in fractional coordinates, are Cs at (0.000, 0.000, 0.000), Ge at (0.103, 0.397, 0.000) and Pb at (0.135, 0.635, 0.500).


c.
The following is a GGA-PBE calculation of an optimized crystal structure of CsGe2Pb2, from the Alexandria database.

For the total moment, the calculation gives 0.00 μB per cell.

The space group is I4/mmm (No. 139) and the conventional cell measures 5.063, 5.063 and 13.170 Å, with angles of 90.00, 90.00 and 90.00 degrees. The distinct sites, in fractional coordinates, are Cs at (0.000, 0.000, 0.000), Ge at (0.000, 0.500, 0.250) and Pb at (0.000, 0.000, 0.367).


Need the numbers? Relative energies in eV/atom: a 0.000; b 0.052; c 0.038.


a.
The following is a GGA-PBE calculation of an optimized crystal structure of Cs2GePb2, from the Alexandria database.

For the total moment, the calculation gives 0.00 μB per cell.

The space group is C2/m (No. 12) and the conventional cell measures 14.764, 7.570 and 11.019 Å, with angles of 90.00, 128.97 and 90.00 degrees. The distinct sites, in fractional coordinates, are Cs at (0.086, 0.000, 0.382), Cs at (0.222, 0.000, 0.095), Ge at (0.001, 0.500, 0.165), Pb at (0.090, 0.500, 0.473) and Pb at (0.187, 0.500, 0.166).


b.
The following is a GGA-PBE calculation of an optimized crystal structure of Cs2GePb2, from the Alexandria database.

For the total moment, the calculation gives 0.00 μB per cell.

The space group is P4/mbm (No. 127) and the conventional cell measures 7.833, 7.833 and 6.602 Å, with angles of 90.00, 90.00 and 90.00 degrees. The distinct sites, in fractional coordinates, are Cs at (0.178, 0.322, 0.000), Ge at (0.000, 0.000, 0.500) and Pb at (0.143, 0.643, 0.500).


Need the numbers? Relative energies in eV/atom: a 0.000; b 0.006.


a.
The following is a GGA-PBE calculation of an optimized crystal structure of CsGePd, from the Alexandria database.

For the total moment, the calculation gives 0.00 μB per cell.

The space group is P-1 (No. 2) and the conventional cell measures 5.758, 6.068 and 7.227 Å, with angles of 114.58, 113.42 and 90.01 degrees. The distinct sites, in fractional coordinates, are Cs at (0.199, 0.210, 0.399), Ge at (0.489, 0.183, 0.979) and Pd at (0.230, 0.500, 0.000).


b.
The following is a GGA-PBE calculation of an optimized crystal structure of CsGePd, from the Alexandria database.

For the total moment, the calculation gives 0.00 μB per cell.

The space group is P-1 (No. 2) and the conventional cell measures 4.656, 4.660 and 9.250 Å, with angles of 92.57, 92.83 and 100.95 degrees. The distinct sites, in fractional coordinates, are Cs at (0.236, 0.235, 0.318), Ge at (0.299, 0.301, 0.901) and Pd at (0.203, 0.797, 0.000).


Need the numbers? Relative energies in eV/atom: a 0.206; b 0.000.


a.
The following is a GGA-PBE calculation of an optimized crystal structure of CsGePt3, from the Alexandria database.

For the total moment, the calculation gives 0.00 μB per cell.

The space group is P2_1/m (No. 11) and the conventional cell measures 6.656, 5.463 and 7.768 Å, with angles of 90.00, 96.30 and 90.00 degrees. The distinct sites, in fractional coordinates, are Cs at (0.233, 0.250, 0.393), Ge at (0.411, 0.750, 0.106), Pt at (0.030, 0.750, 0.037) and Pt at (0.281, 0.002, 0.848).


b.
The following is a GGA-PBE calculation of an optimized crystal structure of CsGePt3, from the Alexandria database.

For the total moment, the calculation gives 0.00 μB per cell.

The space group is Pm-3m (No. 221) and the conventional cell measures 5.217, 5.217 and 5.217 Å, with angles of 90.00, 90.00 and 90.00 degrees. The distinct sites, in fractional coordinates, are Cs at (0.000, 0.000, 0.000), Ge at (0.500, 0.500, 0.500) and Pt at (0.000, 0.000, 0.500).


Need the numbers? Relative energies in eV/atom: a 0.000; b 2.305.